DFT (SCAN) results for a PBEsol-optimized structure of GdB2Ru2.

```
GdB2Ru2
1.0
5.516 0.009 0.000
-1.637 5.267 0.000
-1.939 -2.638 4.859
Gd B Ru
2 4 4
Direct
0.000 0.000 0.000 Gd
0.250 0.750 0.500 Gd
0.312 0.688 0.000 B
0.688 0.312 0.000 B
0.562 0.438 0.500 B
0.938 0.062 0.500 B
0.638 0.638 0.275 Ru
0.362 0.362 0.725 Ru
0.612 0.112 0.225 Ru
0.888 0.388 0.775 Ru
```

Values from the calculation:
SG: Fddd
ρ: 9.0 g cm⁻³
electronic total energy: -29.26 eV per atom

---

DFT (SCAN) results for a PBEsol-optimized structure of TaTlW.

```
TaTlW
1.0
-0.051 -0.571 2.751
4.286 -0.984 -0.124
-1.136 4.943 -0.431
Ta Tl W
1 1 1
Direct
0.999 0.999 0.998 Ta
0.668 0.668 0.335 Tl
0.334 0.334 0.667 W
```

Values from the calculation:
SG: Imm2
energy above the most stable polymorph in this dataset: 68 meV per atom
ρ: 17.5 g cm⁻³

---

DFT (SCAN) results for a PBEsol-optimized structure of CrRuSe2.

```
CrRuSe2
1.0
4.282 0.000 0.000
2.141 3.709 0.000
2.141 1.236 3.496
Cr Ru Se
1 1 2
Direct
0.000 0.000 0.000 Cr
0.500 0.500 0.500 Ru
0.250 0.250 0.250 Se
0.750 0.750 0.750 Se
```

Values from the calculation:
SG: Fm-3m
ΔE_f (raw): 0.30 eV/atom
energy above the most stable polymorph in this dataset: 539 meV per atom
ρ: 9.3 g cm⁻³

---

DFT (SCAN) results for a PBEsol-optimized structure of Ho6FeBi2.

```
Ho6FeBi2
1.0
4.071 0.000 0.000
0.000 8.172 0.000
0.000 -4.086 7.077
Ho Fe Bi
6 1 2
Direct
0.000 0.770 0.770 Ho
0.500 0.000 0.609 Ho
0.500 0.609 0.000 Ho
0.000 0.230 0.000 Ho
0.000 0.000 0.230 Ho
0.500 0.391 0.391 Ho
0.500 0.000 0.000 Fe
0.000 0.667 0.333 Bi
0.000 0.333 0.667 Bi
```

Values from the calculation:
SG: P-62m
ρ: 10.3 g cm⁻³
electronic total energy: -52.62 eV per atom

---

DFT (SCAN) results for a PBEsol-optimized structure of Ba2SiAu.

```
Ba2SiAu
1.0
-0.300 -4.390 1.114
2.417 -1.257 -4.303
3.609 0.961 4.760
Si Au Ba
1 1 2
Direct
0.000 0.581 0.162 Si
0.500 0.670 0.340 Au
0.500 0.974 0.949 Ba
0.000 0.274 0.549 Ba
```

Values from the calculation:
SG: Amm2
ΔE_f (raw): -0.63 eV/atom
energy above the most stable polymorph in this dataset: 0 meV per atom
ρ: 6.5 g cm⁻³

---

DFT (SCAN) results for a PBEsol-optimized structure of Nd2Ga7Pd.

```
Nd2Ga7Pd
1.0
-3.440 0.842 -2.272
-0.084 -3.985 -1.350
-6.094 -2.663 8.241
Nd Ga Pd
2 7 1
Direct
0.500 0.000 0.751 Nd
0.000 0.500 0.249 Nd
0.000 0.500 0.870 Ga
0.500 0.000 0.360 Ga
0.500 0.000 0.130 Ga
0.000 0.500 0.640 Ga
0.000 0.000 0.500 Ga
0.000 0.000 0.000 Ga
0.500 0.500 0.500 Ga
0.500 0.500 0.000 Pd
```

Values from the calculation:
SG: P-4m2
ρ: 7.8 g cm⁻³
electronic total energy: -24.11 eV per atom